The following is a DFT calculation (PBE with a Hubbard U) of an optimized crystal structure of VInI2O.

Cell lengths 5.9614, 5.9614, 3.7769 Å; angles 90.00, 90.00, 90.00 degrees
Last column: nearest neighbours and their distance in Å.
Space group P4/mmm (No. 123)
Inequivalent atoms, fractional coordinates:
V  0.0000  0.0000  0.0000 x1  2 O 1.89
In  0.5000  0.5000  0.5000 x1  8 I 3.53, 2 In 3.78
I  0.0000  0.5000  0.0000 x2  2 V 2.98
O  0.0000  0.0000  0.5000 x1  2 V 1.89

Results
Crystal system: tetragonal
D(E_F): 0.244 states/eV/atom
Energy: -21.662 eV per cell
Relative energy among the computed polymorphs: 0.0 kJ/mol of atoms